1.
VASP calculation (PBE) on crystalline NaHf2SbO8 at its relaxed geometry.

## Properties
space group: Cmmm, No. 65

a = 4.8449 Å, b = 4.8476 Å, c = 6.7856 Å
α = 90.00°, β = 90.00°, γ = 88.82°
Atoms (fractional coordinates):
1 O 0.3390 0.3398 0.5000
2 Sb 0.0000 0.0000 0.0000
3 O 0.8001 0.1999 0.2125
4 O 0.1999 0.8001 0.7875
5 O 0.2987 0.2986 0.0000
6 O 0.6610 0.6602 0.5000
7 O 0.1999 0.8000 0.2125
8 O 0.7013 0.7014 0.0000
9 O 0.8001 0.2000 0.7875
10 Hf 0.5000 0.5000 0.2408
11 Na 0.0000 0.0000 0.5000
12 Hf 0.5000 0.5000 0.7592

***

2.
VASP calculation (PBE) on crystalline Na2HfSb2O6 at its relaxed geometry.

## Properties
space group: C2/m, No. 12

a = 6.7194 Å, b = 5.7979 Å, c = 5.9544 Å
α = 110.26°, β = 90.00°, γ = 125.41°
Atoms (fractional coordinates):
1 O 0.2477 0.9195 0.2258
2 Na 0.3359 0.6718 0.8718
3 O 0.3282 0.0805 0.7742
4 O 0.7370 0.4740 0.5639
5 O 0.6718 0.9195 0.2258
6 Hf 0.5000 0.0000 0.5000
7 O 0.7523 0.0805 0.7742
8 O 0.2630 0.5260 0.4361
9 Sb 0.9640 0.9280 0.7303
10 Na 0.6641 0.3282 0.1282
11 Sb 0.0360 0.0720 0.2697

***

E, respectively: -7.6114; -6.4221 eV per atom.